Entry 1:
This record from the Alexandria database describes a relaxed structure of CeTeSe2. The functional is PBE.

Calculated values
DOS at the Fermi energy in states/eV/atom: 2.01
Uncorrected formation energy in meV per atom: 37
Magnetization in Bohr magnetons per cell: 1.14
Crystal system: trigonal
Space group: R-3m (166)

Cell: 3.778 3.778 9.828 Å, 78.92 78.92 60.00°
Fractional coordinates of all 4 atoms:
Te  0.500  0.500  0.500
Se  0.098  0.098  0.706
Se  0.902  0.902  0.294
Ce  0.000  0.000  0.000


Entry 2:
This record from the Alexandria database describes a relaxed structure of MgMnRuW. The functional is PBE.

Calculated values
Energy of formation in eV/atom: 0.071
DOS at the Fermi energy in states/eV/atom: 1.08
Magnetization in Bohr magnetons per cell: 0.96
Crystal system: cubic
Space group: F-43m (216)

Cell: 4.325 4.325 4.325 Å, 60.00 60.00 60.00°
Fractional coordinates of all 4 atoms:
Ru  0.750  0.750  0.750
Mg  0.500  0.500  0.500
Mn  0.250  0.250  0.250
W  0.000  0.000  0.000


Entry 3:
This record from the Alexandria database describes a relaxed structure of NaMgUF6. The functional is PBE.

Calculated values
DOS at the Fermi energy in states/eV/atom: 0.75
Uncorrected formation energy in meV per atom: -3226
Magnetization in Bohr magnetons per cell: 6.00
Crystal system: trigonal
Space group: P-31c (163)

Cell: 5.862 5.862 9.184 Å, 90.00 90.00 120.00°
Fractional coordinates of all 18 atoms:
Na  0.000  0.000  0.000
Na  0.000  0.000  0.500
Mg  0.667  0.333  0.250
Mg  0.333  0.667  0.750
U  0.333  0.667  0.250
U  0.667  0.333  0.750
F  0.665  0.624  0.133
F  0.959  0.335  0.133
F  0.335  0.959  0.633
F  0.041  0.665  0.867
F  0.376  0.335  0.367
F  0.959  0.624  0.367
F  0.624  0.959  0.867
F  0.665  0.041  0.367
F  0.041  0.376  0.633
F  0.376  0.041  0.133
F  0.624  0.665  0.633
F  0.335  0.376  0.867


Entry 4:
This record from the Alexandria database describes a relaxed structure of Ce3Al2Ga9Au. The functional is PBE.

Calculated values
Energy of formation in eV/atom: -0.172
DOS at the Fermi energy in states/eV/atom: 1.20
Magnetization in Bohr magnetons per cell: 1.47
Crystal system: trigonal
Space group: P-3m1 (164)

Cell: 5.796 5.796 12.223 Å, 90.00 90.00 120.00°
Fractional coordinates of all 15 atoms:
Ce  0.333  0.667  0.782
Ce  0.000  0.000  0.000
Ce  0.667  0.333  0.218
Al  0.333  0.667  0.164
Al  0.667  0.333  0.836
Ga  0.836  0.164  0.669
Ga  0.836  0.672  0.669
Ga  0.328  0.164  0.669
Ga  0.672  0.836  0.331
Ga  0.164  0.328  0.331
Ga  0.164  0.836  0.331
Ga  0.500  0.000  0.000
Ga  0.000  0.500  0.000
Ga  0.500  0.500  0.000
Au  0.000  0.000  0.500